Entry 1:
Zr2TaMn: optimized geometry, PBE-GGA.

abc: 4.1896 3.1170 5.9245
angles: 75.54 90.00 90.00
With the nearest neighbours (Å) after each atom.
Sites, in units of the cell vectors:
Mn: 0.0000 0.5042 0.5214  2 Ta 2.53, 3 Zr 2.69-2.77
Ta: 0.5000 0.6864 0.7184  2 Mn 2.53, 1 Zr 2.81
Zr: 0.0000 0.0059 0.9786  1 Mn 2.77, 2 Ta 2.92, 2 Zr 3.05
Zr: 0.5000 0.3034 0.2816  2 Mn 2.69, 1 Ta 2.81

## Properties
Magnetic moment, μB/f.u.: 0.07
DFT formation energy, eV per atom: 0.141
E_tot, eV per atom: -9.388

***

Entry 2:
Dy6Ho3ErSc2: optimized geometry, PBE-GGA.

abc: 6.0491 6.0491 11.5251
angles: 95.01 95.01 119.95
With the nearest neighbours (Å) after each atom.
Sites, in units of the cell vectors:
Dy: 0.9180 0.5825 0.7554  2 Sc 3.43, 1 Er 3.44, 6 Dy 3.48-3.52, 3 Ho 3.52-3.54
Dy: 0.7463 0.7463 0.2446  2 Sc 3.43, 1 Er 3.44, 6 Dy 3.48-3.52, 3 Ho 3.52-3.54
Dy: 0.0820 0.4175 0.2446  2 Sc 3.43, 1 Er 3.44, 6 Dy 3.48-3.52, 3 Ho 3.52-3.54
Dy: 0.5825 0.9180 0.7554  2 Sc 3.43, 1 Er 3.44, 6 Dy 3.48-3.52, 3 Ho 3.52-3.54
Dy: 0.2537 0.2537 0.7554  2 Sc 3.43, 1 Er 3.44, 6 Dy 3.48-3.52, 3 Ho 3.52-3.54
Dy: 0.4175 0.0820 0.2446  2 Sc 3.43, 1 Er 3.44, 6 Dy 3.48-3.52, 3 Ho 3.52-3.54
Ho: 0.1668 0.8332 0.5000  6 Ho 3.49-3.50, 6 Dy 3.52-3.54
Ho: 0.8332 0.1668 0.5000  6 Ho 3.49-3.50, 6 Dy 3.52-3.54
Ho: 0.5000 0.5000 0.5000  6 Ho 3.49-3.50, 6 Dy 3.52-3.53
Er: 0.0000 0.0000 0.0000  6 Dy 3.44, 6 Sc 3.49
Sc: 0.3333 0.6667 0.0000  6 Dy 3.43, 3 Sc 3.49, 3 Er 3.49
Sc: 0.6667 0.3333 0.0000  6 Dy 3.43, 3 Sc 3.49, 3 Er 3.49

## Properties
Magnetic moment, μB/f.u.: 0.00
DFT formation energy, eV per atom: 0.036
E_tot, eV per atom: -4.845

***

Entry 3:
P2PtAu: optimized geometry, PBE-GGA.

abc: 4.9561 4.9561 4.9561
angles: 141.83 120.37 73.03
With the nearest neighbours (Å) after each atom.
Sites, in units of the cell vectors:
Au: 0.2363 0.7363 0.5000  6 P 2.64-2.95, 4 Pt 2.86-2.95
P: 0.9740 0.9740 0.0000  2 P 2.36, 2 Au 2.64
P: 0.7580 0.2580 0.5000  2 P 2.36, 2 Pt 2.42
Pt: 0.5318 0.5318 0.0000  2 P 2.42

## Properties
Magnetic moment, μB/f.u.: 0.00
DFT formation energy, eV per atom: 0.275
E_tot, eV per atom: -4.760

***

Entry 4:
Sc4TeIr: optimized geometry, PBE-GGA.

abc: 3.8267 7.5586 18.1045
angles: 90.00 90.00 90.00
With the nearest neighbours (Å) after each atom.
Sites, in units of the cell vectors:
Sc: 0.7500 0.8555 0.6475  2 Ir 2.70, 1 Te 3.00
Sc: 0.2500 0.1445 0.3525  2 Ir 2.70, 1 Te 3.00
Sc: 0.2500 0.6445 0.1475  2 Ir 2.70, 1 Te 3.00
Sc: 0.7500 0.3555 0.8525  2 Ir 2.70, 1 Te 3.00
Sc: 0.7500 0.8637 0.4522  3 Ir 2.75-2.89
Sc: 0.2500 0.1363 0.5478  3 Ir 2.75-2.89
Sc: 0.2500 0.6363 0.9522  3 Ir 2.75-2.89
Sc: 0.7500 0.3637 0.0478  3 Ir 2.75-2.89
Sc: 0.7500 0.9975 0.9327  3 Ir 2.74-2.87, 1 Te 2.98
Sc: 0.2500 0.0025 0.0673  3 Ir 2.74-2.87, 1 Te 2.98
Sc: 0.2500 0.5025 0.4327  3 Ir 2.74-2.87, 1 Te 2.98
Sc: 0.7500 0.4975 0.5673  3 Ir 2.74-2.87, 1 Te 2.98
Sc: 0.7500 0.9561 0.2110  4 Te 3.00-3.02, 4 Sc 3.25, 1 Ir 3.30
Sc: 0.2500 0.0439 0.7890  4 Te 3.00-3.02, 4 Sc 3.25, 1 Ir 3.30
Sc: 0.2500 0.5439 0.7110  4 Te 3.00-3.02, 4 Sc 3.25, 1 Ir 3.30
Sc: 0.7500 0.4561 0.2890  4 Te 3.00-3.02, 4 Sc 3.25, 1 Ir 3.30
Te: 0.7500 0.7385 0.8090  9 Sc 2.98-3.31
Te: 0.2500 0.2615 0.1910  9 Sc 2.98-3.31
Te: 0.2500 0.7615 0.3090  9 Sc 2.98-3.31
Te: 0.7500 0.2385 0.6910  9 Sc 2.98-3.31
Ir: 0.7500 0.2460 0.4489  8 Sc 2.70-2.89
Ir: 0.2500 0.7540 0.5511  8 Sc 2.70-2.89
Ir: 0.2500 0.2540 0.9489  8 Sc 2.70-2.89
Ir: 0.7500 0.7460 0.0511  8 Sc 2.70-2.89

## Properties
Magnetic moment, μB/f.u.: 0.00
Uncorrected formation energy, eV/atom: -0.83
E_tot, eV per atom: -7.056